Density functional theory data (PBE-GGA) for a relaxed structure of Ba4ErRu3O12.

extended XYZ file:
```
20
Lattice="2.966 1.713 9.803 -2.966 1.713 9.803 0.000 -3.425 9.803" Properties=species:S:1:pos:R:3 pbc="T T T"
Ba 0.000 0.000 3.787
Ba 0.000 0.000 8.412
Ba 0.000 0.000 20.997
Ba 0.000 0.000 25.623
Er 0.000 0.000 0.000
Ru 0.000 0.000 12.148
Ru 0.000 0.000 14.705
Ru 0.000 0.000 17.262
O -1.381 -0.797 13.455
O 0.000 -1.629 11.071
O -1.411 0.815 11.071
O -1.411 -0.815 18.339
O 0.000 -1.595 15.955
O -1.381 0.797 15.955
O 1.381 -0.797 13.455
O 0.000 1.595 13.455
O 1.411 0.815 11.071
O 1.411 -0.815 18.339
O 0.000 1.629 18.339
O 1.381 0.797 15.955
```

**Total DFT energy (no corrections)**: -7.088 eV per atom
**Formation energy (no corrections)**: -2.109 eV/atom
**Symmetry**: No. 166